1.
The following is a DFT calculation (GGA-PBE) of LiAgF3 after structural relaxation.

Cell and atoms, written as extended XYZ:
```
10
Lattice="5.6425 0.0000 0.0000 0.0000 3.0822 0.0000 -2.4650 0.0000 8.2811" Properties=species:S:1:pos:R:3 pbc="T T T"
Li -0.3351 0.7705 3.2251
Li 3.5126 2.3116 5.0560
Ag 0.7266 0.7705 6.7596
Ag 2.4509 2.3116 1.5215
F -0.6956 0.7705 5.1536
F -0.8409 0.7705 8.1637
F 0.8210 2.3116 2.7796
F 2.3565 0.7705 5.5016
F 4.0184 2.3116 0.1175
F 3.8731 2.3116 3.1276
```

## Properties
excess energy over the best structure of this formula in the dataset	0.059	eV/atom
electronic total energy	-3.845	eV/atom

---

2.
The following is a DFT calculation (GGA-PBE) of Li2Ag3F6 after structural relaxation.

Cell and atoms, written as extended XYZ:
```
11
Lattice="2.7640 -2.7099 0.0000 2.7640 2.7099 0.0000 -1.8893 0.0000 9.5313" Properties=species:S:1:pos:R:3 pbc="T T T"
Li 0.4487 0.0000 1.9244
Li 3.1899 0.0000 7.6068
Ag 0.2478 0.0000 6.0950
Ag 2.7640 0.0000 0.0000
Ag 3.3908 0.0000 3.4363
F 1.8494 1.3499 1.4822
F 0.4190 0.0000 3.7932
F 1.7892 1.3499 8.0490
F 1.8494 -1.3499 1.4822
F 3.2196 0.0000 5.7380
F 1.7892 -1.3499 8.0490
```

## Properties
electronic total energy	-3.835	eV/atom

---

3.
The following is a DFT calculation (GGA-PBE) of LiAg2F6 after structural relaxation.

Cell and atoms, written as extended XYZ:
```
9
Lattice="5.4726 0.0000 0.0000 -2.7363 4.7394 0.0000 0.0000 0.0000 4.8831" Properties=species:S:1:pos:R:3 pbc="T T T"
Li 0.0000 0.0000 0.0000
Ag 0.0000 3.1596 1.2459
Ag 2.7363 1.5798 3.6371
F -0.9885 1.7121 2.4415
F -1.7986 3.1153 0.0000
F 0.9377 1.6241 0.0000
F 1.9769 0.0000 2.4415
F 1.7478 3.0273 2.4415
F 3.5973 0.0000 0.0000
```

## Properties
excess energy over the best structure of this formula in the dataset	0.027	eV/atom
electronic total energy	-3.560	eV/atom

---

4.
The following is a DFT calculation (GGA-PBE) of Li2Ag5F12 after structural relaxation.

Cell and atoms, written as extended XYZ:
```
19
Lattice="6.4087 -2.9368 0.0000 6.4087 2.9368 0.0000 -1.7404 0.0000 6.8257" Properties=species:S:1:pos:R:3 pbc="T T T"
Li 6.4087 1.5661 0.0000
Li 6.4087 -1.5661 0.0000
Ag -0.8702 0.0000 3.4129
Ag 3.7716 0.0000 1.0953
Ag 3.0898 0.0000 4.4912
Ag 7.9872 0.0000 2.3345
Ag 7.3054 0.0000 5.7304
F -1.2129 0.0000 5.4667
F 2.6952 1.4027 6.0709
F 3.7377 1.4382 3.0329
F 7.3393 1.4382 3.7929
F 8.3818 1.4027 0.7549
F 5.9059 0.0000 1.2801
F 5.1711 0.0000 5.5457
F 2.6952 -1.4027 6.0709
F 3.7377 -1.4382 3.0329
F 7.3393 -1.4382 3.7929
F 8.3818 -1.4027 0.7549
F 12.2899 0.0000 1.3591
```

## Properties
electronic total energy	-3.599	eV/atom

---

5.
The following is a DFT calculation (GGA-PBE) of LiAg3F4 after structural relaxation.

Cell and atoms, written as extended XYZ:
```
8
Lattice="5.1529 0.0000 0.0000 0.0000 5.1529 0.0000 0.0000 0.0000 5.1529" Properties=species:S:1:pos:R:3 pbc="T T T"
Li 0.0000 0.0000 0.0000
Ag 0.0000 2.5764 2.5764
Ag 2.5764 0.0000 2.5764
Ag 2.5764 2.5764 0.0000
F 1.0920 1.0920 1.0920
F 1.0920 4.0609 4.0609
F 4.0609 1.0920 4.0609
F 4.0609 4.0609 1.0920
```

## Properties
excess energy over the best structure of this formula in the dataset	0.024	eV/atom
electronic total energy	-3.652	eV/atom

---

6.
The following is a DFT calculation (GGA-PBE) of LiAgF3 after structural relaxation.

Cell and atoms, written as extended XYZ:
```
20
Lattice="4.9065 -4.6900 0.0000 4.9065 4.6900 0.0000 -0.3957 0.0000 6.0732" Properties=species:S:1:pos:R:3 pbc="T T T"
Li 1.6631 0.8017 1.8980
Li 1.4653 -0.8017 4.9346
Li 7.9520 0.8017 1.1386
Li 7.7542 -0.8017 4.1752
Ag 4.8076 2.6544 1.5183
Ag 4.6097 0.8622 4.5549
Ag 4.8076 -0.8622 1.5183
Ag 4.6097 -2.6544 4.5549
F 1.0658 0.6179 3.7252
F 3.3409 2.3563 5.1985
F 1.2637 -0.6179 0.6886
F 3.6205 0.8506 2.0657
F 5.8785 2.3563 3.9112
F 3.4226 -0.8506 5.1022
F 5.9946 0.8506 0.9709
F 3.5388 -2.3563 2.1620
F 5.7968 -0.8506 4.0075
F 8.1536 0.6179 5.3846
F 6.0764 -2.3563 0.8746
F 8.3515 -0.6179 2.3480
```

## Properties
excess energy over the best structure of this formula in the dataset	0.005	eV/atom
electronic total energy	-3.899	eV/atom

---

7.
The following is a DFT calculation (GGA-PBE) of LiAg3F4 after structural relaxation.

Cell and atoms, written as extended XYZ:
```
16
Lattice="7.0692 0.0000 0.0000 0.0000 6.8965 0.0000 0.0000 0.0000 5.2744" Properties=species:S:1:pos:R:3 pbc="T T T"
Li 0.0000 1.4288 0.0000
Li 3.5346 5.4676 2.6372
Ag 0.0000 5.8221 3.0646
Ag 1.4217 4.7177 0.2230
Ag 2.1129 2.1788 2.8602
Ag 3.5346 1.0744 0.4274
Ag 4.9563 2.1788 2.8602
Ag 5.6475 4.7177 0.2230
F 0.0000 1.2061 3.3846
F 0.0000 6.5628 0.6629
F 1.5848 2.4210 0.3385
F 1.9499 4.4754 2.9757
F 3.5346 0.3336 3.3001
F 3.5346 5.6903 0.7474
F 5.1194 4.4754 2.9757
F 5.4845 2.4210 0.3385
```

## Properties
excess energy over the best structure of this formula in the dataset	0.000	eV/atom
electronic total energy	-3.676	eV/atom

---

8.
The following is a DFT calculation (GGA-PBE) of Li3AgF6 after structural relaxation.

Cell and atoms, written as extended XYZ:
```
10
Lattice="2.6054 1.5042 4.7333 -2.6054 1.5042 4.7333 0.0000 -3.0085 4.7333" Properties=species:S:1:pos:R:3 pbc="T T T"
Li 0.0000 0.0000 0.0000
Li 0.0000 0.0000 2.8799
Li 0.0000 0.0000 6.9932
Ag 0.0000 0.0000 9.8799
F -0.7643 -1.6247 6.1890
F -1.6407 -0.0233 8.5275
F -1.0249 1.4742 6.1890
F 0.8406 -1.4093 8.5275
F 1.7892 0.1505 6.1890
F 0.8002 1.4326 8.5275
```

## Properties
excess energy over the best structure of this formula in the dataset	0.000	eV/atom
electronic total energy	-4.140	eV/atom